P) The following is a PBE-GGA calculation of an optimized crystal structure of KMgSeBr2, from Alexandria via LeMat-Bulk.

Summary:
The magnetic moment is 1.1 μB/f.u. For the density, the calculation gives 2.5 g cm⁻³. As for the space-group type: P4/mmm (123).

Cell: 5.8145 5.8145 5.8867 Å, 90.00 90.00 90.00°
Sites, in units of the cell vectors:
Mg  0.5000  0.5000  0.5000
K  0.0000  0.0000  0.0000
Se  0.0000  0.0000  0.5000
Br  0.0000  0.5000  0.0000
Br  0.5000  0.0000  0.0000



Q) The following is a PBE-GGA calculation of an optimized crystal structure of KMgSeBr2, from Alexandria via LeMat-Bulk.

Summary:
The magnetic moment is 1.0 μB/f.u. For the density, the calculation gives 3.3 g cm⁻³. As for the space-group type: P4/mmm (123).

Cell: 5.4454 5.4454 5.1957 Å, 90.00 90.00 90.00°
Sites, in units of the cell vectors:
Mg  0.0000  0.0000  0.0000
K  0.5000  0.5000  0.5000
Se  0.0000  0.0000  0.5000
Br  0.0000  0.5000  0.0000
Br  0.5000  0.0000  0.0000



List of relative energies, unit meV/atom: P) 1063; Q) 0



P) The following is a PBE-GGA calculation of an optimized crystal structure of KMn2Br, from Alexandria via LeMat-Bulk.

Summary:
The magnetic moment is 9.0 μB/f.u. For the density, the calculation gives 3.2 g cm⁻³. As for the space-group type: I4/mmm (139).

Cell: 7.3833 7.3833 7.3833 Å, 147.03 147.03 47.32°
Sites, in units of the cell vectors:
Br  0.2500  0.7500  0.5000
K  0.7500  0.2500  0.5000
Mn  0.0000  0.0000  0.0000
Mn  0.5000  0.5000  0.0000



Q) The following is a PBE-GGA calculation of an optimized crystal structure of KMn2Br, from Alexandria via LeMat-Bulk.

Summary:
The magnetic moment is 9.2 μB/f.u. For the density, the calculation gives 3.5 g cm⁻³. As for the space-group type: Cmmm (65).

Cell: 3.4600 3.4600 10.2652 Å, 90.00 90.00 117.48°
Sites, in units of the cell vectors:
Br  0.5000  0.5000  0.2500
K  0.5000  0.5000  0.7500
Mn  0.0000  0.0000  0.0430
Mn  0.0000  0.0000  0.4570



List of relative energies, unit meV/atom: P) 0; Q) 293



P) The following is a PBE-GGA calculation of an optimized crystal structure of KMn2Br, from Alexandria via LeMat-Bulk.

Summary:
The magnetic moment is 9.0 μB/f.u. For the density, the calculation gives 3.2 g cm⁻³. As for the space-group type: P4/mmm (123).

Cell: 6.8385 4.1737 4.1737 Å, 90.00 90.00 90.00°
Sites, in units of the cell vectors:
Br  0.5000  0.5000  0.0000
K  0.5000  0.0000  0.5000
Mn  0.0000  0.0000  0.0000
Mn  0.0000  0.5000  0.5000



Q) The following is a PBE-GGA calculation of an optimized crystal structure of KMn2Br, from Alexandria via LeMat-Bulk.

Summary:
The magnetic moment is 9.5 μB/f.u. For the density, the calculation gives 3.5 g cm⁻³. As for the space-group type: R-3m (166).

Cell: 10.3961 10.3961 10.3961 Å, 19.55 19.55 19.55°
Sites, in units of the cell vectors:
Br  0.2500  0.2500  0.2500
K  0.7500  0.7500  0.7500
Mn  0.9848  0.9848  0.9848
Mn  0.5152  0.5152  0.5152



List of relative energies, unit meV/atom: P) 0; Q) 281



P) The following is a PBE-GGA calculation of an optimized crystal structure of KMnBr3, from Alexandria via LeMat-Bulk.

Summary:
The magnetic moment is 5.0 μB/f.u. For the density, the calculation gives 3.1 g cm⁻³. As for the space-group type: P2_1/c (14).

Cell: 9.1517 10.0995 8.7780 Å, 90.00 90.00 116.91°
Sites, in units of the cell vectors:
K  0.4439  0.8878  0.2494
K  0.5561  0.1122  0.7506
K  0.0561  0.1122  0.7494
K  0.9439  0.8878  0.2506
Mn  0.5931  0.6861  0.6117
Mn  0.4069  0.3139  0.3883
Mn  0.9069  0.3139  0.1117
Mn  0.0931  0.6861  0.8883
Br  0.7682  0.0353  0.0222
Br  0.2318  0.9647  0.9778
Br  0.7318  0.9647  0.5222
Br  0.2682  0.0353  0.4778
Br  0.3646  0.7272  0.7519
Br  0.6354  0.2728  0.2481
Br  0.1354  0.2728  0.2519
Br  0.8646  0.7272  0.7481
Br  0.0529  0.6063  0.1738
Br  0.9471  0.3937  0.8262
Br  0.4471  0.3937  0.6738
Br  0.5529  0.6063  0.3262



Q) The following is a PBE-GGA calculation of an optimized crystal structure of KMnBr3, from Alexandria via LeMat-Bulk.

Summary:
The magnetic moment is 5.0 μB/f.u. For the density, the calculation gives 3.2 g cm⁻³. As for the space-group type: C2/m (12).

Cell: 5.0760 8.4823 8.4774 Å, 74.61 89.27 89.25°
Sites, in units of the cell vectors:
K  0.9898  0.1629  0.6022
K  0.4953  0.7414  0.1801
Mn  0.7419  0.6267  0.7167
Mn  0.7422  0.2777  0.0654
Br  0.5054  0.3483  0.7870
Br  0.9790  0.5559  0.9950
Br  0.4999  0.2799  0.3176
Br  0.4996  0.8786  0.7195
Br  0.9853  0.0259  0.0628
Br  0.9850  0.6246  0.4647



List of relative energies, unit meV/atom: P) 15; Q) 0



P) The following is a PBE-GGA calculation of an optimized crystal structure of KMnBr3, from Alexandria via LeMat-Bulk.

Summary:
The magnetic moment is 5.0 μB/f.u. For the density, the calculation gives 3.6 g cm⁻³. As for the space-group type: Pm-3m (221).

Cell: 5.3639 5.3639 5.3639 Å, 90.00 90.00 90.00°
Sites, in units of the cell vectors:
K  0.5000  0.5000  0.5000
Mn  0.0000  0.0000  0.0000
Br  0.0000  0.5000  0.0000
Br  0.0000  0.0000  0.5000
Br  0.5000  0.0000  0.0000



Q) The following is a PBE-GGA calculation of an optimized crystal structure of KMnBr3, from Alexandria via LeMat-Bulk.

Summary:
The magnetic moment is 5.3 μB/f.u. For the density, the calculation gives 2.7 g cm⁻³. As for the space-group type: Pm-3m (221).

Cell: 5.8711 5.8711 5.8711 Å, 90.00 90.00 90.00°
Sites, in units of the cell vectors:
K  0.0000  0.0000  0.0000
Mn  0.5000  0.5000  0.5000
Br  0.0000  0.5000  0.0000
Br  0.0000  0.0000  0.5000
Br  0.5000  0.0000  0.0000



R) The following is a PBE-GGA calculation of an optimized crystal structure of KMnBr3, from Alexandria via LeMat-Bulk.

Summary:
The magnetic moment is 5.0 μB/f.u. For the density, the calculation gives 3.7 g cm⁻³. As for the space-group type: Pnma (62).

Cell: 4.0994 9.5114 15.3332 Å, 90.00 90.00 90.00°
Sites, in units of the cell vectors:
K  0.7500  0.0583  0.6765
K  0.2500  0.9417  0.3235
K  0.7500  0.5583  0.8235
K  0.2500  0.4417  0.1765
Mn  0.2500  0.6642  0.5533
Mn  0.7500  0.3358  0.4467
Mn  0.2500  0.1642  0.9467
Mn  0.7500  0.8358  0.0533
Br  0.2500  0.7765  0.7062
Br  0.7500  0.2235  0.2938
Br  0.2500  0.2765  0.7938
Br  0.7500  0.7235  0.2062
Br  0.7500  0.8260  0.4919
Br  0.2500  0.1740  0.5081
Br  0.7500  0.3260  0.0081
Br  0.2500  0.6740  0.9919
Br  0.2500  0.5195  0.4003
Br  0.7500  0.4805  0.5997
Br  0.2500  0.0195  0.0997
Br  0.7500  0.9805  0.9003



List of relative energies, unit meV/atom: P) 48; Q) 1175; R) 0



P) The following is a PBE-GGA calculation of an optimized crystal structure of K2MnBr, from Alexandria via LeMat-Bulk.

Summary:
The magnetic moment is 4.0 μB/f.u. For the density, the calculation gives 2.0 g cm⁻³. As for the space-group type: I-42d (122).

Cell: 9.0690 9.0690 7.7656 Å, 54.27 54.27 90.00°
Sites, in units of the cell vectors:
K  0.6615  0.1250  0.2500
K  0.0885  0.6250  0.2500
K  0.3750  0.3385  0.7500
K  0.8750  0.9115  0.7500
Mn  0.5000  0.5000  0.0000
Mn  0.2500  0.7500  0.5000
Br  0.0000  0.0000  0.0000
Br  0.7500  0.2500  0.5000



Q) The following is a PBE-GGA calculation of an optimized crystal structure of K2MnBr, from Alexandria via LeMat-Bulk.

Summary:
The magnetic moment is 4.3 μB/f.u. For the density, the calculation gives 2.3 g cm⁻³. As for the space-group type: F-43m (216).

Cell: 5.9943 5.9943 5.9943 Å, 60.00 60.00 60.00°
Sites, in units of the cell vectors:
Br  0.5000  0.5000  0.5000
K  0.0000  0.0000  0.0000
K  0.2500  0.2500  0.2500
Mn  0.7500  0.7500  0.7500



List of relative energies, unit meV/atom: P) 0; Q) 198



P) The following is a PBE-GGA calculation of an optimized crystal structure of K2MnBr, from Alexandria via LeMat-Bulk.

Summary:
The magnetic moment is 4.6 μB/f.u. For the density, the calculation gives 2.2 g cm⁻³. As for the space-group type: Cm (8).

Cell: 10.2051 10.2051 4.1707 Å, 78.05 78.05 22.60°
Sites, in units of the cell vectors:
Br  0.2962  0.2962  0.2027
K  0.9309  0.9309  0.0707
K  0.7173  0.7173  0.7829
Mn  0.5556  0.5556  0.4437



Q) The following is a PBE-GGA calculation of an optimized crystal structure of K2MnBr, from Alexandria via LeMat-Bulk.

Summary:
The magnetic moment is 4.6 μB/f.u. For the density, the calculation gives 2.2 g cm⁻³. As for the space-group type: C2/m (12).

Cell: 4.2613 4.2613 10.5029 Å, 78.24 78.24 60.12°
Sites, in units of the cell vectors:
Br  0.2500  0.2500  0.2500
K  0.9860  0.9860  0.0407
K  0.5140  0.5140  0.4593
Mn  0.7500  0.7500  0.7500



R) The following is a PBE-GGA calculation of an optimized crystal structure of K2MnBr, from Alexandria via LeMat-Bulk.

Summary:
The magnetic moment is 4.4 μB/f.u. For the density, the calculation gives 2.3 g cm⁻³. As for the space-group type: Fm-3m (225).

Cell: 6.0112 6.0112 6.0112 Å, 60.00 60.00 60.00°
Sites, in units of the cell vectors:
K  0.2500  0.2500  0.2500
K  0.7500  0.7500  0.7500
Mn  0.0000  0.0000  0.0000
Br  0.5000  0.5000  0.5000



S) The following is a PBE-GGA calculation of an optimized crystal structure of K2MnBr, from Alexandria via LeMat-Bulk.

Summary:
The magnetic moment is 4.2 μB/f.u. For the density, the calculation gives 2.2 g cm⁻³. As for the space-group type: I-4m2 (119).

Cell: 7.6181 7.6181 7.6181 Å, 143.20 143.20 53.03°
Sites, in units of the cell vectors:
Br  0.7500  0.2500  0.5000
K  0.0000  0.0000  0.0000
K  0.2500  0.7500  0.5000
Mn  0.5000  0.5000  0.0000



List of relative energies, unit meV/atom: P) 11; Q) 0; R) 164; S) 116



P) The following is a PBE-GGA calculation of an optimized crystal structure of K2MnBr, from Alexandria via LeMat-Bulk.

Summary:
The magnetic moment is 4.6 μB/f.u. For the density, the calculation gives 1.9 g cm⁻³. As for the space-group type: P4mm (99).

Cell: 4.1905 4.1905 10.5019 Å, 90.00 90.00 90.00°
Sites, in units of the cell vectors:
Br  0.5000  0.5000  0.9469
K  0.0000  0.0000  0.8289
K  0.5000  0.5000  0.2526
Mn  0.0000  0.0000  0.4716



Q) The following is a PBE-GGA calculation of an optimized crystal structure of K2MnBr, from Alexandria via LeMat-Bulk.

Summary:
The magnetic moment is 4.4 μB/f.u. For the density, the calculation gives 2.4 g cm⁻³. As for the space-group type: Pmm2 (25).

Cell: 6.0953 4.0580 5.8916 Å, 90.02 90.00 90.00°
Sites, in units of the cell vectors:
Br  0.5000  0.6262  0.8751
K  0.0000  0.1246  0.8752
K  0.5000  0.1247  0.3744
Mn  0.0000  0.6245  0.3753



R) The following is a PBE-GGA calculation of an optimized crystal structure of K2MnBr, from Alexandria via LeMat-Bulk.

Summary:
The magnetic moment is 4.7 μB/f.u. For the density, the calculation gives 2.0 g cm⁻³. As for the space-group type: Cmm2 (35).

Cell: 4.1144 4.1144 10.4677 Å, 90.00 90.00 90.09°
Sites, in units of the cell vectors:
Br  0.5000  0.5000  0.7623
K  0.0000  0.0000  0.8932
K  0.5000  0.5000  0.3129
Mn  0.0000  0.0000  0.5316



S) The following is a PBE-GGA calculation of an optimized crystal structure of K2MnBr, from Alexandria via LeMat-Bulk.

Summary:
The magnetic moment is 4.4 μB/f.u. For the density, the calculation gives 2.5 g cm⁻³. As for the space-group type: Cmmm (65).

Cell: 3.9183 3.9183 9.3242 Å, 90.00 90.00 89.89°
Sites, in units of the cell vectors:
Br  0.5000  0.5000  0.7500
K  0.0000  0.0000  0.9639
K  0.0000  0.0000  0.5361
Mn  0.5000  0.5000  0.2500



List of relative energies, unit meV/atom: P) 90; Q) 110; R) 191; S) 0



P) The following is a PBE-GGA calculation of an optimized crystal structure of K4MnBr6, from Alexandria via LeMat-Bulk.

Summary:
The magnetic moment is 5.0 μB/f.u. For the density, the calculation gives 3.1 g cm⁻³. As for the space-group type: R-3c (167).

Cell: 9.0825 9.0825 9.0825 Å, 89.75 89.75 89.75°
Sites, in units of the cell vectors:
K  0.2500  0.2500  0.2500
K  0.7500  0.7500  0.7500
K  0.8705  0.6295  0.2500
K  0.6295  0.2500  0.8705
K  0.2500  0.8705  0.6295
K  0.1295  0.3705  0.7500
K  0.3705  0.7500  0.1295
K  0.7500  0.1295  0.3705
Mn  0.0000  0.0000  0.0000
Mn  0.5000  0.5000  0.5000
Br  0.9446  0.2881  0.0663
Br  0.2881  0.0663  0.9446
Br  0.0663  0.9446  0.2881
Br  0.2119  0.5554  0.4337
Br  0.5554  0.4337  0.2119
Br  0.4337  0.2119  0.5554
Br  0.0554  0.7119  0.9337
Br  0.7119  0.9337  0.0554
Br  0.9337  0.0554  0.7119
Br  0.7881  0.4446  0.5663
Br  0.4446  0.5663  0.7881
Br  0.5663  0.7881  0.4446



Q) The following is a PBE-GGA calculation of an optimized crystal structure of K4MnBr6, from Alexandria via LeMat-Bulk.

Summary:
The magnetic moment is 5.0 μB/f.u. For the density, the calculation gives 3.0 g cm⁻³. As for the space-group type: P4/mnc (128).

Cell: 9.0232 9.0232 9.3057 Å, 90.00 90.00 90.00°
Sites, in units of the cell vectors:
K  0.3281  0.1719  0.2500
K  0.1719  0.6719  0.7500
K  0.6719  0.8281  0.7500
K  0.8281  0.3281  0.7500
K  0.3281  0.1719  0.7500
K  0.1719  0.6719  0.2500
K  0.8281  0.3281  0.2500
K  0.6719  0.8281  0.2500
Mn  0.5000  0.5000  0.0000
Mn  0.0000  0.0000  0.5000
Br  0.2970  0.9066  0.5000
Br  0.7970  0.5934  0.0000
Br  0.5934  0.2030  0.0000
Br  0.0934  0.2970  0.5000
Br  0.0000  0.0000  0.2178
Br  0.5000  0.5000  0.2822
Br  0.4066  0.7970  0.0000
Br  0.0000  0.0000  0.7822
Br  0.2030  0.4066  0.0000
Br  0.5000  0.5000  0.7178
Br  0.9066  0.7030  0.5000
Br  0.7030  0.0934  0.5000



List of relative energies, unit meV/atom: P) 0; Q) 15